Entry from Alexandria via LeMat-Bulk: an optimized crystal structure of Tl2ZnBr (GGA-PBE).

## Properties
energy above the lowest structure with this stoichiometry	0.0000	eV/atom
formation energy (no corrections)	-205	meV/atom

Geometry as POSCAR:
```
Tl2ZnBr
1.0
4.4974 0.0000 0.0000
0.0000 4.4974 0.0000
0.0000 0.0000 6.3303
Tl Zn Br
2 1 1
direct
0.0000 0.0000 0.8741
0.5000 0.5000 0.3760
0.0000 0.0000 0.3737
0.5000 0.5000 0.8762
```



Entry from Alexandria via LeMat-Bulk: an optimized crystal structure of TlZn2Br2 (GGA-PBE).

## Properties
energy above the lowest structure with this stoichiometry	0.0187	eV/atom
formation energy (no corrections)	-280	meV/atom

Geometry as POSCAR:
```
TlZn2Br2
1.0
-0.7372 -9.1961 -2.5493
5.6067 1.6517 -7.5794
3.0147 -0.8109 2.0534
Br Zn Tl
4 4 2
direct
0.7856 0.2856 0.0000
0.7144 0.7856 0.0000
0.2856 0.2144 0.0000
0.2144 0.7144 0.0000
0.4123 0.0877 0.5000
0.0877 0.5877 0.5000
0.5877 0.9123 0.5000
0.9123 0.4123 0.5000
0.5000 0.5000 0.0000
0.0000 0.0000 0.0000
```



Entry from Alexandria via LeMat-Bulk: an optimized crystal structure of TlZnBr2 (GGA-PBE).

## Properties
energy above the lowest structure with this stoichiometry	0.0385	eV/atom
formation energy (no corrections)	-476	meV/atom

Geometry as POSCAR:
```
TlZnBr2
1.0
-8.7237 3.2753 -3.6272
-9.8518 1.6526 -0.4440
-8.5520 5.1665 -0.3972
Br Tl Zn
2 1 1
direct
0.0310 0.0310 0.0310
0.4690 0.4690 0.4690
0.2500 0.2500 0.2500
0.7500 0.7500 0.7500
```



Entry from Alexandria via LeMat-Bulk: an optimized crystal structure of TlZnBr2 (GGA-PBE).

## Properties
energy above the lowest structure with this stoichiometry	0.1795	eV/atom
formation energy (no corrections)	-335	meV/atom

Geometry as POSCAR:
```
TlZnBr2
1.0
5.5827 -0.0078 -0.0890
0.0443 5.5825 -0.0890
0.7421 0.7352 3.8324
Br Zn Tl
2 1 1
direct
0.5000 0.5000 0.0000
0.0000 0.0000 0.0000
0.0000 0.5000 0.5000
0.5000 0.0000 0.5000
```



Q: What is the energy above the lowest structure with this stoichiometry in the third record?
A: 0.0385 eV/atom



Q: Which value of formation energy (no corrections) does entry 2 give?
A: -280 meV/atom



Q: The highest energy above the lowest structure with this stoichiometry belongs to which entry?
A: number 4